# 1
Na3Re: optimized geometry, PBE-GGA.

Unit cell a=5.2733 b=5.2733 c=5.2733 alpha=60.00 beta=60.00 gamma=60.00
With the nearest neighbours (Å) after each atom.
Atoms (fractional coordinates):
Re (0.0000, 0.0000, 0.0000)  8 Na 3.23
Na (0.5000, 0.5000, 0.5000)  8 Na 3.23
Na (0.2500, 0.2500, 0.2500)  4 Re 3.23, 4 Na 3.23
Na (0.7500, 0.7500, 0.7500)  4 Na 3.23, 4 Re 3.23

Properties
- crystal system = cubic
- calculated formation energy (meV/atom) = 1301

# 2
Na3Re: optimized geometry, PBE-GGA.

Unit cell a=6.6062 b=6.6062 c=5.4554 alpha=90.00 beta=90.00 gamma=120.00
With the nearest neighbours (Å) after each atom.
Atoms (fractional coordinates):
Na (0.6487, 0.8243, 0.2500)  8 Na 3.12-3.48, 4 Re 3.27-3.30
Na (0.8243, 0.6487, 0.7500)  8 Na 3.12-3.48, 4 Re 3.27-3.30
Na (0.8243, 0.1757, 0.7500)  8 Na 3.12-3.48, 4 Re 3.27-3.30
Na (0.3513, 0.1757, 0.7500)  8 Na 3.12-3.48, 4 Re 3.27-3.30
Na (0.1757, 0.8243, 0.2500)  8 Na 3.12-3.48, 4 Re 3.27-3.30
Na (0.1757, 0.3513, 0.2500)  8 Na 3.12-3.48, 4 Re 3.27-3.30
Re (0.3333, 0.6667, 0.7500)  12 Na 3.27-3.30
Re (0.6667, 0.3333, 0.2500)  12 Na 3.27-3.30

Properties
- crystal system = hexagonal
- calculated formation energy (meV/atom) = 1299

# 3
Na4Re: optimized geometry, PBE-GGA.

Unit cell a=5.8950 b=5.8950 c=5.8950 alpha=90.00 beta=90.00 gamma=90.00
With the nearest neighbours (Å) after each atom.
Atoms (fractional coordinates):
Na (0.0000, 0.5000, 0.5000)  2 Re 2.95
Na (0.5000, 0.0000, 0.5000)  2 Re 2.95
Na (0.0000, 0.0000, 0.0000)  12 Na 4.17
Na (0.5000, 0.5000, 0.0000)  2 Re 2.95
Re (0.5000, 0.5000, 0.5000)  6 Na 2.95

Properties
- crystal system = cubic
- calculated formation energy (meV/atom) = 1289

# 4
NaRe3Rh: optimized geometry, PBE-GGA.

Unit cell a=4.7458 b=4.7458 c=4.7458 alpha=90.00 beta=90.00 gamma=90.00
With the nearest neighbours (Å) after each atom.
Atoms (fractional coordinates):
Na (0.5000, 0.5000, 0.5000)  12 Re 3.36
Re (0.0000, 0.0000, 0.5000)  2 Rh 2.37
Re (0.5000, 0.0000, 0.0000)  2 Rh 2.37
Re (0.0000, 0.5000, 0.0000)  2 Rh 2.37
Rh (0.0000, 0.0000, 0.0000)  6 Re 2.37

Properties
- crystal system = cubic
- calculated formation energy (meV/atom) = 2234

# 5
Na2ReRh: optimized geometry, PBE-GGA.

Unit cell a=8.3165 b=8.3165 c=6.3711 alpha=49.26 beta=49.26 gamma=90.00
With the nearest neighbours (Å) after each atom.
Atoms (fractional coordinates):
Rh (0.2500, 0.7500, 0.5000)  2 Re 2.45
Rh (0.5000, 0.5000, 0.0000)  2 Re 2.45
Na (0.8750, 0.8404, 0.7500)  2 Na 2.52, 2 Rh 2.81
Na (0.5904, 0.1250, 0.2500)  2 Na 2.52, 2 Rh 2.81
Na (0.1596, 0.6250, 0.2500)  2 Na 2.52, 2 Rh 2.81
Na (0.3750, 0.4096, 0.7500)  2 Na 2.52, 2 Rh 2.81
Re (0.0000, 0.0000, 0.0000)  2 Rh 2.45
Re (0.7500, 0.2500, 0.5000)  2 Rh 2.45

Properties
- crystal system = tetragonal
- calculated formation energy (meV/atom) = 1321

# 6
NaRe3Rh: optimized geometry, PBE-GGA.

Unit cell a=4.3812 b=4.3812 c=4.3812 alpha=90.00 beta=90.00 gamma=90.00
With the nearest neighbours (Å) after each atom.
Atoms (fractional coordinates):
Rh (0.5000, 0.5000, 0.5000)  12 Re 3.10
Re (0.0000, 0.0000, 0.5000)  2 Na 2.19
Re (0.0000, 0.5000, 0.0000)  2 Na 2.19
Re (0.5000, 0.0000, 0.0000)  2 Na 2.19
Na (0.0000, 0.0000, 0.0000)  6 Re 2.19

Properties
- crystal system = cubic
- calculated formation energy (meV/atom) = 3024

# 7
Na2ReRh: optimized geometry, PBE-GGA.

Unit cell a=4.6926 b=4.6926 c=4.6926 alpha=60.00 beta=60.00 gamma=60.00
With the nearest neighbours (Å) after each atom.
Atoms (fractional coordinates):
Re (0.5000, 0.5000, 0.5000)  8 Na 2.87
Na (0.2500, 0.2500, 0.2500)  4 Re 2.87, 4 Rh 2.87
Na (0.7500, 0.7500, 0.7500)  4 Rh 2.87, 4 Re 2.87
Rh (0.0000, 0.0000, 0.0000)  8 Na 2.87

Properties
- crystal system = cubic
- calculated formation energy (meV/atom) = 1455

# 8
Na3ReRh3S8: optimized geometry, PBE-GGA.

Unit cell a=7.2002 b=7.1969 c=7.6800 alpha=117.93 beta=90.00 gamma=120.02
With the nearest neighbours (Å) after each atom.
Atoms (fractional coordinates):
Rh (0.0000, 0.5000, 0.5000)  6 S 2.40-2.42
Rh (0.5000, 0.0000, 0.5000)  6 S 2.40-2.42
Rh (0.5000, 0.5000, 0.5000)  6 S 2.40-2.42
Re (0.0000, 0.0000, 0.5000)  6 S 2.44
S (0.7289, 0.4578, 0.6864)  3 Rh 2.40
S (0.7671, 0.0390, 0.3064)  2 Rh 2.42, 1 Re 2.44
S (0.2711, 0.5422, 0.3136)  3 Rh 2.40
S (0.7670, 0.5340, 0.3062)  2 Rh 2.42, 1 Re 2.44
S (0.7280, 0.9610, 0.6936)  2 Rh 2.42, 1 Re 2.44
S (0.2330, 0.4660, 0.6938)  2 Rh 2.42, 1 Re 2.44
S (0.2720, 0.0390, 0.3064)  2 Rh 2.42, 1 Re 2.44
S (0.2329, 0.9610, 0.6936)  2 Rh 2.42, 1 Re 2.44
Na (0.0000, 0.5000, 0.0000)  6 S 2.88-2.90
Na (0.0000, 0.0000, 0.0000)  6 S 2.88-2.90
Na (0.5000, 0.5000, 0.0000)  6 S 2.88-2.90

Properties
- ΔE_f (raw) (eV per formula unit) = -9.032
- crystal system = trigonal